Entry 1:
The following is a DFT calculation (PBE) of a geometry-optimized FeCo3B structure.

a b c (Å): 4.2030 4.2030 4.2030
angles (deg): 90.00 90.00 90.00
Closest atoms and distances in Å follow each position.
Element x y z (fractional)
B 0.5000 0.5000 0.5000  12 Co 2.97
Co 0.0000 0.5000 0.0000  2 Fe 2.10
Co 0.0000 0.0000 0.5000  2 Fe 2.10
Co 0.5000 0.0000 0.0000  2 Fe 2.10
Fe 0.0000 0.0000 0.0000  6 Co 2.10

Values from the calculation:
Its magnetic moment is 7.45 μB per cell. The space group is Pm-3m, No. 221. The polymorph energy (0 for the lowest one) is 1858.5 meV/atom.

Entry 2:
The following is a DFT calculation (PBE) of a geometry-optimized ZrPt2Rh structure.

a b c (Å): 4.5717 4.5717 4.5717
angles (deg): 60.00 60.00 60.00
Closest atoms and distances in Å follow each position.
Element x y z (fractional)
Rh 0.5000 0.5000 0.5000  8 Pt 2.80
Zr 0.0000 0.0000 0.0000  8 Pt 2.80
Pt 0.2500 0.2500 0.2500  4 Zr 2.80, 4 Rh 2.80
Pt 0.7500 0.7500 0.7500  4 Zr 2.80, 4 Rh 2.80

Values from the calculation:
Its magnetic moment is 0.00 μB per cell. As for the total energy: -7.5814 eV/atom. The space group is Fm-3m, No. 225.

Entry 3:
The following is a DFT calculation (PBE) of a geometry-optimized LaSn2Ir structure.

a b c (Å): 4.6354 7.5627 11.5743
angles (deg): 90.00 90.00 90.00
Closest atoms and distances in Å follow each position.
Element x y z (fractional)
La 0.7500 0.7048 0.6420  2 Ir 3.29, 9 Sn 3.40-3.58
La 0.2500 0.7952 0.1420  2 Ir 3.29, 9 Sn 3.40-3.58
La 0.2500 0.2952 0.3580  2 Ir 3.29, 9 Sn 3.40-3.58
La 0.7500 0.2047 0.8580  2 Ir 3.29, 9 Sn 3.40-3.58
Sn 0.7500 0.1490 0.5594  3 Ir 2.66-2.72
Sn 0.2500 0.3510 0.0594  3 Ir 2.66-2.72
Sn 0.2500 0.8510 0.4406  3 Ir 2.66-2.72
Sn 0.7500 0.6490 0.9406  3 Ir 2.66-2.72
Sn 0.7500 0.6242 0.3498  2 Ir 2.60-2.74
Sn 0.2500 0.8758 0.8498  2 Ir 2.60-2.74
Sn 0.2500 0.3758 0.6502  2 Ir 2.60-2.74
Sn 0.7500 0.1242 0.1502  2 Ir 2.60-2.74
Ir 0.7500 0.9863 0.3561  5 Sn 2.60-2.74
Ir 0.2500 0.5137 0.8561  5 Sn 2.60-2.74
Ir 0.2500 0.0137 0.6439  5 Sn 2.60-2.74
Ir 0.7500 0.4863 0.1439  5 Sn 2.60-2.74

Values from the calculation:
Its magnetic moment is 0.00 μB per cell. As for the total energy: -6.0879 eV/atom. The space group is Pnma, No. 62.